First-principles (PBEsol) data for crystalline Ba2GaFePt at its relaxed geometry, as listed in Alexandria via LeMat-Bulk.

abc: 6.003 6.003 4.756
angles: 90.00 90.00 90.00
Element x y z (fractional)
Ba (0.000, 0.500, 0.000)
Ba (0.500, 0.000, 0.000)
Ga (0.000, 0.000, 0.500)
Fe (0.500, 0.500, 0.500)
Pt (0.000, 0.000, 0.000)

SG   P4/mmm, No. 123
Energy   -4.467 eV/atom